Density functional theory data (PBE-GGA) for a relaxed structure of La2SbPd4.

The density of states at the Fermi level is 3.48 states/eV/f.u. The calculation puts the uncorrected formation energy at -412.1 meV/atom.

The space group is I4/mmm (No. 139) and the conventional cell measures 4.949, 4.949 and 15.067 Å, with angles of 90.00, 90.00 and 90.00 degrees. The distinct sites, in fractional coordinates, are La at (0.000, 0.000, 0.143), Sb at (0.000, 0.000, 0.500), Pd at (0.000, 0.000, 0.323) and Pd at (0.000, 0.500, 0.000).

=====

Density functional theory data (PBE-GGA) for a relaxed structure of Cr4CuSi.

The density of states at the Fermi level is 7.58 states/eV/f.u. The calculation puts the uncorrected formation energy at 353.6 meV/atom.

The space group is F-43m (No. 216) and the conventional cell measures 6.661, 6.661 and 6.661 Å, with angles of 90.00, 90.00 and 90.00 degrees. The distinct sites, in fractional coordinates, are Cr at (0.124, 0.124, 0.124), Cu at (0.250, 0.250, 0.750) and Si at (0.000, 0.000, 0.500).

=====

Number 1: final energy -75.3 eV per cell. Number 2: final energy -183.6 eV per cell.